Entry 1:
K3ReCl7 | PBE | optimized geometry

Results
ΔE_f (raw): -1.34 eV/atom
VASP energy: -3.95 eV per atom

Cell: 9.6282 9.9767 7.6641 Å, 90.00 106.68 90.00°
Space group Cm (No. 8)
Symmetry-distinct sites (fractional):
K 0.0000 0.0000 0.0000 (multiplicity 2)
K 0.0229 0.2767 0.5450 (multiplicity 4)
Re 0.4914 0.0000 0.0326 (multiplicity 2)
Cl 0.1382 0.3274 0.2055 (multiplicity 4)
Cl 0.1445 0.5000 0.8368 (multiplicity 2)
Cl 0.3436 0.1684 0.8496 (multiplicity 4)
Cl 0.3456 0.0000 0.2401 (multiplicity 2)
Cl 0.4366 0.5000 0.5935 (multiplicity 2)

Entry 2:
LiLuAlRu | PBE | optimized geometry

Results
DOS at the Fermi energy: 7.39 states/eV per cell
calculated formation energy: -395 meV per atom
VASP energy: -5.26 eV per atom

Cell: 6.4425 6.4425 6.4425 Å, 90.00 90.00 90.00°
Space group F-43m (No. 216)
Symmetry-distinct sites (fractional):
Li 0.0000 0.0000 0.0000 (multiplicity 4)
Lu 0.2500 0.2500 0.7500 (multiplicity 4)
Al 0.2500 0.2500 0.2500 (multiplicity 4)
Ru 0.0000 0.0000 0.5000 (multiplicity 4)

Entry 3:
AsPbSe2I | PBE | optimized geometry

Results
DOS at the Fermi energy: 4.43 states/eV per cell
ΔE_f (raw): 0.69 eV/atom
polymorph energy (0 for the lowest one): 0.0 meV per atom
VASP energy: -2.68 eV per atom

Cell: 5.5729 5.5729 5.6445 Å, 90.00 90.00 90.00°
Space group P4/mmm (No. 123)
Symmetry-distinct sites (fractional):
As 0.0000 0.0000 0.0000 (multiplicity 1)
Pb 0.5000 0.5000 0.0000 (multiplicity 1)
Se 0.0000 0.5000 0.5000 (multiplicity 2)
I 0.0000 0.0000 0.5000 (multiplicity 1)

Entry 4:
Th4C3S | PBE | optimized geometry

Results
DOS at the Fermi energy: 3.78 states/eV per cell
ΔE_f (raw): -0.69 eV/atom
polymorph energy (0 for the lowest one): 0.0 meV per atom
VASP energy: -8.38 eV per atom

Cell: 3.8226 5.5000 7.7976 Å, 90.00 90.00 90.00°
Space group Pmmm (No. 47)
Symmetry-distinct sites (fractional):
Th 0.0000 0.0000 0.0000 (multiplicity 1)
Th 0.0000 0.0000 0.5000 (multiplicity 1)
Th 0.5000 0.5000 0.2245 (multiplicity 2)
C 0.0000 0.5000 0.0000 (multiplicity 1)
C 0.5000 0.0000 0.2523 (multiplicity 2)
S 0.0000 0.5000 0.5000 (multiplicity 1)

Entry 5:
Sm10Bi3Sb3 | PBE | optimized geometry

Results
DOS at the Fermi energy: 16.25 states/eV per cell
ΔE_f (raw): -0.86 eV/atom
VASP energy: -5.31 eV per atom

Cell: 9.3014 9.3014 6.4792 Å, 90.00 90.00 120.00°
Space group P-62m (No. 189)
Symmetry-distinct sites (fractional):
Sm 0.0000 0.2474 0.0000 (multiplicity 3)
Sm 0.0000 0.7531 0.5000 (multiplicity 3)
Sm 0.3333 0.6667 0.2462 (multiplicity 4)
Bi 0.0000 0.3890 0.5000 (multiplicity 3)
Sb 0.0000 0.6135 0.0000 (multiplicity 3)

Entry 6:
EuZnInNi | PBE | optimized geometry

Results
DOS at the Fermi energy: 38.05 states/eV per cell
calculated formation energy: -148 meV per atom
VASP energy: -5.17 eV per atom

Cell: 6.8350 6.8350 6.8350 Å, 90.00 90.00 90.00°
Space group F-43m (No. 216)
Symmetry-distinct sites (fractional):
Eu 0.0000 0.0000 0.0000 (multiplicity 4)
Zn 0.2500 0.2500 0.7500 (multiplicity 4)
In 0.0000 0.0000 0.5000 (multiplicity 4)
Ni 0.2500 0.2500 0.2500 (multiplicity 4)

Entry 7:
Er3Zn2Hg6 | PBE | optimized geometry

Results
DOS at the Fermi energy: 20.44 states/eV per cell
calculated formation energy: -168 meV per atom
VASP energy: -1.81 eV per atom

Cell: 4.1943 4.1943 30.4516 Å, 90.00 90.00 90.00°
Space group I4/mmm (No. 139)
Symmetry-distinct sites (fractional):
Er 0.0000 0.0000 0.0000 (multiplicity 2)
Er 0.0000 0.0000 0.1703 (multiplicity 4)
Zn 0.0000 0.0000 0.3602 (multiplicity 4)
Hg 0.0000 0.0000 0.2724 (multiplicity 4)
Hg 0.0000 0.5000 0.0762 (multiplicity 8)

Entry 8:
YCrSCl2 | PBE | optimized geometry

Results
DOS at the Fermi energy: 3.70 states/eV per cell
ΔE_f (raw): -0.81 eV/atom
polymorph energy (0 for the lowest one): 101.8 meV per atom
VASP energy: -5.59 eV per atom

Cell: 4.6700 4.6700 4.9339 Å, 90.00 90.00 90.00°
Space group P4/mmm (No. 123)
Symmetry-distinct sites (fractional):
Y 0.0000 0.0000 0.0000 (multiplicity 1)
Cr 0.5000 0.5000 0.5000 (multiplicity 1)
S 0.5000 0.5000 0.0000 (multiplicity 1)
Cl 0.0000 0.5000 0.5000 (multiplicity 2)